{
  "formula": "FeRe2Pb",
  "functional": "PBE",
  "state": "optimized geometry",
  "formation_energy_ev_per_fu": 2.753,
  "dft_energy_ev_per_fu": -34.3,
  "cell": [[3.063, 0.000, 0.000], [0.000, 3.092, 0.000], [-1.190, 0.000, 7.278]],
  "species": ["Fe", "Re", "Re", "Pb"],
  "fractional_positions": [[0.000, 0.000, 0.000], [0.433, 0.500, 0.820], [0.567, 0.500, 0.180], [0.000, 0.000, 0.500]]
}